No. 1
Density functional theory data (PBE-GGA) for crystalline Sm2VFe16N2 at its relaxed geometry.

a = 6.4909 Å, b = 6.4909 Å, c = 6.5521 Å
α = 83.65°, β = 83.65°, γ = 83.02°
Last column: nearest neighbours and their distance in Å.
Sites, in units of the cell vectors:
1 Fe 0.2857 0.9999 0.7189  1 N 1.88
2 Fe 0.9991 0.5003 0.0004  9 Fe 2.43-2.66, 1 V 2.66
3 Fe 0.0036 0.7180 0.2846  1 N 1.88
4 N 0.4999 0.9995 0.4998  4 Fe 1.88-1.93
5 N 0.9995 0.4999 0.4998  4 Fe 1.88-1.93
6 Fe 0.6568 0.1430 0.6612  1 N 1.93
7 Fe 0.2920 0.7084 0.0003  8 Fe 2.45-2.62
8 Fe 0.3420 0.3420 0.8574  9 Fe 2.47-2.68
9 Sm 0.3427 0.3427 0.3435  2 N 2.50
10 V 0.9076 0.9076 0.9072  1 Fe 2.30
11 Fe 0.3446 0.8552 0.3381  1 N 1.92
12 Fe 0.7180 0.0036 0.2846  1 N 1.88
13 Fe 0.7084 0.2920 0.0003  8 Fe 2.45-2.62
14 Fe 0.8552 0.3446 0.3381  1 N 1.92
15 Fe 0.6575 0.6575 0.1443  8 Fe 2.46-2.62, 1 V 2.69
16 Fe 0.1430 0.6568 0.6612  1 N 1.93
17 Fe 0.9999 0.2857 0.7189  1 N 1.88
18 Sm 0.6513 0.6513 0.6508  2 N 2.50
19 Fe 0.0914 0.0914 0.0912  1 V 2.30
20 Fe 0.5003 0.9991 0.0004  9 Fe 2.43-2.66, 1 V 2.66
21 Fe 0.0013 0.0013 0.4991  9 Fe 2.43-2.69, 1 V 2.69

Calculated values
- final energy (eV for the cell shown) = -174.07
- density (g cm⁻³) = 7.801
- ΔE_f (raw) (eV per atom) = -0.16
- spin magnetization (μB per atom) = 1.604



No. 2
Density functional theory data (PBE-GGA) for crystalline NiHgSb2H at its relaxed geometry.

a = 5.2851 Å, b = 5.2851 Å, c = 3.3319 Å
α = 90.00°, β = 90.00°, γ = 90.00°
Last column: nearest neighbours and their distance in Å.
Sites, in units of the cell vectors:
1 H 0.0000 0.0000 0.5000  2 Ni 1.67
2 Sb 0.5000 0.0000 0.0000  2 Ni 2.64
3 Ni 0.0000 0.0000 0.0000  2 H 1.67
4 Hg 0.5000 0.5000 0.5000  8 Sb 3.12, 2 Hg 3.33
5 Sb 0.0000 0.5000 0.0000  2 Ni 2.64

Calculated values
- final energy (eV for the cell shown) = -17.02
- density (g cm⁻³) = 8.989
- spin magnetization (μB per atom) = 0.000



No. 3
Density functional theory data (PBE-GGA) for crystalline Ca3MgP at its relaxed geometry.

a = 4.8176 Å, b = 4.8176 Å, c = 18.1819 Å
α = 90.00°, β = 90.00°, γ = 120.00°
Last column: nearest neighbours and their distance in Å.
Sites, in units of the cell vectors:
1 Ca 0.6667 0.3333 0.4325  3 P 3.04, 1 Mg 3.32
2 Ca 0.0000 0.0000 0.2500  3 Mg 2.78
3 Ca 0.6667 0.3333 0.0675  3 P 3.04, 1 Mg 3.32
4 Mg 0.3333 0.6667 0.7500  3 Ca 2.78
5 Ca 0.3333 0.6667 0.5675  3 P 3.04, 1 Mg 3.32
6 Ca 0.3333 0.6667 0.9325  3 P 3.04, 1 Mg 3.32
7 P 0.0000 0.0000 0.5000  6 Ca 3.04
8 P 0.0000 0.0000 0.0000  6 Ca 3.04
9 Mg 0.6667 0.3333 0.2500  3 Ca 2.78
10 Ca 0.0000 0.0000 0.7500  3 Mg 2.78

Calculated values
- final energy (eV for the cell shown) = -26.61
- density (g cm⁻³) = 1.595
- E_form (eV per atom) = -0.06
- spin magnetization (μB per atom) = 0.112



No. 4
Density functional theory data (PBE-GGA) for crystalline Cs3NaCr2Br8 at its relaxed geometry.

a = 7.8488 Å, b = 7.8488 Å, c = 10.3108 Å
α = 90.00°, β = 90.00°, γ = 120.00°
Last column: nearest neighbours and their distance in Å.
Sites, in units of the cell vectors:
1 Br 0.3333 0.6667 0.9710  1 Cr 2.45
2 Br 0.1679 0.3358 0.3169  1 Cr 2.51
3 Br 0.1679 0.8321 0.3169  1 Cr 2.51
4 Br 0.6667 0.3333 0.0290  1 Cr 2.45
5 Na 0.0000 0.0000 0.5000  6 Br 2.96
6 Br 0.8321 0.6642 0.6831  1 Cr 2.51
7 Cr 0.3333 0.6667 0.2085  4 Br 2.45-2.51
8 Cs 0.6667 0.3333 0.3741  10 Br 3.56-3.97
9 Cs 0.3333 0.6667 0.6259  10 Br 3.56-3.97
10 Br 0.3358 0.1679 0.6831  1 Cr 2.51
11 Br 0.6642 0.8321 0.3169  1 Cr 2.51
12 Cr 0.6667 0.3333 0.7915  4 Br 2.45-2.51
13 Br 0.8321 0.1679 0.6831  1 Cr 2.51
14 Cs 0.0000 0.0000 0.0000  6 Br 3.99

Calculated values
- final energy (eV for the cell shown) = -53.38
- density (g cm⁻³) = 3.517
- ΔE_f (raw) (eV per atom) = -1.20
- spin magnetization (μB per atom) = 0.571



No. 5
Density functional theory data (PBE-GGA) for crystalline La3Nd7Er2 at its relaxed geometry.

a = 6.6930 Å, b = 6.6930 Å, c = 12.0658 Å
α = 73.90°, β = 73.90°, γ = 60.00°
Last column: nearest neighbours and their distance in Å.
Sites, in units of the cell vectors:
1 Nd 0.5000 0.5000 0.5000  6 Nd 3.46
2 Nd 0.9203 0.4150 0.2496  5 Nd 3.31-3.46, 2 Er 3.44-3.45
3 Nd 0.4150 0.9203 0.2496  5 Nd 3.31-3.46, 2 Er 3.44-3.45
4 Nd 0.4150 0.4150 0.2496  5 Nd 3.31-3.46, 2 Er 3.44-3.45
5 Nd 0.0797 0.5850 0.7504  5 Nd 3.31-3.46, 2 Er 3.44-3.45
6 La 0.1528 0.1528 0.5417  12 Nd 3.85-4.11, 3 La 3.98
7 Er 0.6662 0.6662 0.0015  6 Nd 3.44-3.45
8 Nd 0.5850 0.0797 0.7504  5 Nd 3.31-3.46, 2 Er 3.44-3.45
9 Nd 0.5850 0.5850 0.7504  5 Nd 3.31-3.46, 2 Er 3.44-3.45
10 La 0.8472 0.8472 0.4583  12 Nd 3.85-4.11, 3 La 3.98
11 La 0.0000 0.0000 0.0000  6 Er 3.86
12 Er 0.3338 0.3338 0.9985  6 Nd 3.44-3.45

Calculated values
- final energy (eV for the cell shown) = -54.25
- density (g cm⁻³) = 6.594
- E_form (eV per atom) = 0.25
- spin magnetization (μB per atom) = 0.000



No. 6
Density functional theory data (PBE-GGA) for crystalline Pr2NiSnN at its relaxed geometry.

a = 3.8668 Å, b = 6.8391 Å, c = 8.8584 Å
α = 108.91°, β = 90.00°, γ = 90.00°
Last column: nearest neighbours and their distance in Å.
Sites, in units of the cell vectors:
1 Ni 0.2500 0.5530 0.7665  1 N 1.88
2 N 0.7500 0.1572 0.1584  1 Ni 1.88
3 Pr 0.7500 0.7886 0.0295  3 N 2.41-2.65
4 Pr 0.2500 0.2134 0.3682  2 N 2.62
5 N 0.2500 0.8428 0.8416  1 Ni 1.88
6 Sn 0.2500 0.7063 0.3118  2 Ni 2.56
7 Sn 0.7500 0.2937 0.6882  2 Ni 2.56
8 Ni 0.7500 0.4470 0.2335  1 N 1.88
9 Pr 0.7500 0.7866 0.6318  2 N 2.62
10 Pr 0.2500 0.2114 0.9705  3 N 2.41-2.65

Calculated values
- final energy (eV for the cell shown) = -63.58
- density (g cm⁻³) = 7.091
- ΔE_f (raw) (eV per atom) = -0.82
- spin magnetization (μB per atom) = 0.000



No. 7
Density functional theory data (PBE-GGA) for crystalline Tb15Nd2Sm2 at its relaxed geometry.

a = 8.7711 Å, b = 8.7711 Å, c = 8.7711 Å
α = 79.66°, β = 79.66°, γ = 79.66°
Last column: nearest neighbours and their distance in Å.
Sites, in units of the cell vectors:
1 Tb 0.6288 0.6288 0.1504  6 Tb 3.29-3.36
2 Tb 0.0000 0.2988 0.7012  6 Tb 3.31-3.41
3 Tb 0.2988 0.7012 0.0000  6 Tb 3.31-3.41
4 Sm 0.0935 0.0935 0.0935  1 Sm 3.31, 3 Tb 3.49
5 Tb 0.5000 0.0000 0.0000  8 Tb 3.36-3.41, 2 Sm 3.49
6 Tb 0.7012 0.0000 0.2988  6 Tb 3.31-3.41
7 Tb 0.6288 0.1504 0.6288  6 Tb 3.29-3.36
8 Nd 0.3263 0.3263 0.3263  15 Tb 3.96-4.30, 1 Sm 4.12
9 Tb 0.0000 0.7012 0.2988  6 Tb 3.31-3.41
10 Tb 0.3712 0.3712 0.8496  6 Tb 3.29-3.36
11 Tb 0.1504 0.6288 0.6288  6 Tb 3.29-3.36
12 Sm 0.9065 0.9065 0.9065  1 Sm 3.31, 3 Tb 3.49
13 Tb 0.2988 0.0000 0.7012  6 Tb 3.31-3.41
14 Tb 0.7012 0.2988 0.0000  6 Tb 3.31-3.41
15 Tb 0.8496 0.3712 0.3712  6 Tb 3.29-3.36
16 Tb 0.3712 0.8496 0.3712  6 Tb 3.29-3.36
17 Nd 0.6737 0.6737 0.6737  15 Tb 3.96-4.30, 1 Sm 4.12
18 Tb 0.0000 0.5000 0.0000  8 Tb 3.36-3.41, 2 Sm 3.49
19 Tb 0.0000 0.0000 0.5000  8 Tb 3.36-3.41, 2 Sm 3.49

Calculated values
- final energy (eV for the cell shown) = -83.19
- density (g cm⁻³) = 7.649
- E_form (eV per atom) = 0.28
- spin magnetization (μB per atom) = 0.000



No. 8
Density functional theory data (PBE-GGA) for crystalline RbCI2O at its relaxed geometry.

a = 6.8984 Å, b = 6.8984 Å, c = 4.1921 Å
α = 90.00°, β = 90.00°, γ = 90.00°
Last column: nearest neighbours and their distance in Å.
Sites, in units of the cell vectors:
1 I 0.5000 0.0000 0.0000  2 Rb 3.45
2 Rb 0.0000 0.0000 0.0000  2 O 2.10
3 O 0.0000 0.0000 0.5000  2 Rb 2.10
4 I 0.0000 0.5000 0.0000  2 Rb 3.45
5 C 0.5000 0.5000 0.5000  8 I 4.04, 2 C 4.19

Calculated values
- final energy (eV for the cell shown) = -8.93
- density (g cm⁻³) = 3.057
- ΔE_f (raw) (eV per atom) = 1.86
- spin magnetization (μB per atom) = 0.283



No. 9
Density functional theory data (PBE-GGA) for crystalline Tb3Nd6Ho2In at its relaxed geometry.

a = 6.2245 Å, b = 6.2245 Å, c = 11.8161 Å
α = 95.10°, β = 95.10°, γ = 120.16°
Last column: nearest neighbours and their distance in Å.
Sites, in units of the cell vectors:
1 Nd 0.0817 0.4090 0.2464  1 In 3.51, 6 Nd 3.52-3.63, 2 Ho 3.55, 3 Tb 3.59-3.62
2 Tb 0.5000 0.5000 0.5000  6 Tb 3.58-3.59, 6 Nd 3.59-3.61
3 Nd 0.4090 0.0817 0.2464  1 In 3.51, 6 Nd 3.52-3.63, 2 Ho 3.55, 3 Tb 3.59-3.62
4 Nd 0.7550 0.7550 0.2481  6 Nd 3.52-3.63, 1 In 3.54, 2 Ho 3.56, 3 Tb 3.58-3.61
5 Tb 0.1680 0.8320 0.5000  6 Tb 3.57-3.62, 6 Nd 3.58-3.62
6 Nd 0.2450 0.2450 0.7519  6 Nd 3.52-3.63, 1 In 3.54, 2 Ho 3.56, 3 Tb 3.58-3.61
7 Ho 0.3339 0.6661 0.0000  6 Nd 3.55-3.56, 3 In 3.59-3.60, 3 Ho 3.59
8 In 0.0000 0.0000 0.0000  6 Nd 3.51-3.54, 6 Ho 3.59-3.60
9 Ho 0.6661 0.3339 0.0000  6 Nd 3.55-3.56, 3 In 3.59-3.60, 3 Ho 3.59
10 Tb 0.8320 0.1680 0.5000  6 Tb 3.57-3.62, 6 Nd 3.58-3.62
11 Nd 0.9183 0.5910 0.7536  1 In 3.51, 6 Nd 3.52-3.63, 2 Ho 3.55, 3 Tb 3.59-3.62
12 Nd 0.5910 0.9183 0.7536  1 In 3.51, 6 Nd 3.52-3.63, 2 Ho 3.55, 3 Tb 3.59-3.62

Calculated values
- final energy (eV for the cell shown) = -54.80
- density (g cm⁻³) = 7.618
- E_form (eV per atom) = -0.03
- spin magnetization (μB per atom) = 0.000



No. 10
Density functional theory data (PBE-GGA) for crystalline Sc2ZnPt at its relaxed geometry.

a = 9.7776 Å, b = 9.7776 Å, c = 9.7776 Å
α = 18.09°, β = 18.09°, γ = 18.09°
Last column: nearest neighbours and their distance in Å.
Sites, in units of the cell vectors:
1 Sc 0.0879 0.0879 0.0879  1 Pt 2.54
2 Sc 0.9121 0.9121 0.9121  1 Pt 2.54
3 Pt 0.0000 0.0000 0.0000  2 Sc 2.54
4 Zn 0.5000 0.5000 0.5000  6 Sc 2.88, 6 Zn 3.07

Calculated values
- final energy (eV for the cell shown) = -20.40
- density (g cm⁻³) = 7.396
- E_form (eV per atom) = -0.11
- spin magnetization (μB per atom) = 0.000



No. 11
Density functional theory data (PBE-GGA) for crystalline Rb5SmO4 at its relaxed geometry.

a = 3.8103 Å, b = 7.7239 Å, c = 9.1133 Å
α = 104.32°, β = 102.07°, γ = 90.00°
Last column: nearest neighbours and their distance in Å.
Sites, in units of the cell vectors:
1 Rb 0.5000 0.5000 0.0000  4 O 2.95
2 O 0.0007 0.7925 0.0014  2 Sm 2.49, 2 Rb 2.68-2.78
3 O 0.3614 0.9120 0.7228  1 Sm 2.39, 4 Rb 2.61-2.65
4 Rb 0.1614 0.8676 0.3229  3 O 2.65-2.78
5 Rb 0.8386 0.1324 0.6771  3 O 2.65-2.78
6 Rb 0.8455 0.6752 0.6911  3 O 2.61-2.68
7 Sm 0.5000 0.0000 0.0000  6 O 2.39-2.49
8 O 0.6386 0.0880 0.2772  1 Sm 2.39, 4 Rb 2.61-2.65
9 O 0.9993 0.2075 0.9986  2 Sm 2.49, 2 Rb 2.68-2.78
10 Rb 0.1545 0.3248 0.3089  3 O 2.61-2.68

Calculated values
- final energy (eV for the cell shown) = -44.64
- density (g cm⁻³) = 4.199
- ΔE_f (raw) (eV per atom) = -1.53
- spin magnetization (μB per atom) = 0.009



No. 12
Density functional theory data (PBE-GGA) for crystalline Sr2AcTl3 at its relaxed geometry.

a = 5.8275 Å, b = 9.2230 Å, c = 8.2122 Å
α = 90.00°, β = 90.00°, γ = 71.58°
Last column: nearest neighbours and their distance in Å.
Sites, in units of the cell vectors:
1 Tl 0.5000 0.0000 0.7455  2 Ac 3.53, 6 Sr 3.54-3.59
2 Tl 0.1680 0.6640 0.7493  5 Sr 3.54-3.59, 3 Ac 3.57-3.61
3 Ac 0.6624 0.6751 0.0000  8 Tl 3.53-3.61
4 Sr 0.0000 0.0000 0.5000  8 Tl 3.54-3.58
5 Tl 0.5000 0.0000 0.2545  2 Ac 3.53, 6 Sr 3.54-3.59
6 Tl 0.1680 0.6640 0.2507  5 Sr 3.54-3.59, 3 Ac 3.57-3.61
7 Ac 0.3376 0.3249 0.0000  8 Tl 3.53-3.61
8 Tl 0.8320 0.3360 0.2507  5 Sr 3.54-3.59, 3 Ac 3.57-3.61
9 Sr 0.3333 0.3333 0.5000  8 Tl 3.54-3.56
10 Sr 0.0000 0.0000 0.0000  8 Tl 3.59
11 Tl 0.8320 0.3360 0.7493  5 Sr 3.54-3.59, 3 Ac 3.57-3.61
12 Sr 0.6667 0.6667 0.5000  8 Tl 3.54-3.56

Calculated values
- final energy (eV for the cell shown) = -34.06
- density (g cm⁻³) = 8.053
- E_form (eV per atom) = -0.41
- spin magnetization (μB per atom) = 0.000